A relaxed structure of HfSbN2, computed with GGA-PBE.

uncorrected formation energy: -0.335 eV per atom
total magnetization: 0.0 μB/cell
calculated total energy: -64.13 eV/cell
crystal system: tetragonal

```
HfSbN2
1.0
5.379 0.000 0.000
0.000 5.379 0.000
2.689 2.689 4.829
Sb N Hf
2 4 2
Direct
0.500 0.500 0.000
0.250 0.750 0.500
0.875 0.940 0.750
0.060 0.625 0.250
0.690 0.125 0.250
0.375 0.310 0.750
0.750 0.250 0.500
0.000 0.000 0.000
```

A relaxed structure of AsOsBr2, computed with GGA-PBE.

uncorrected formation energy: 0.880 eV per atom
total magnetization: 0.0 μB/cell
calculated total energy: -15.71 eV/cell
crystal system: orthorhombic
E above lowest polymorph: 18.21 kcal/mol of atoms

```
AsOsBr2
1.0
3.224 -0.024 0.000
-1.815 2.664 0.000
0.000 0.000 11.446
Br As Os
2 1 1
Direct
0.000 0.000 0.074
0.000 0.000 0.426
0.500 0.500 0.750
0.500 0.500 0.250
```

Here are the calculated DOS at the Fermi energy numbers, same order: 2.0 3.7 (states/eV/f.u.).